Run a
TiFe3Ru: relaxed, GGA-PBE.

Lattice parameters (Å, degrees): 4.2315 4.2315 4.2315 90.00 90.00 90.00
Atoms (fractional coordinates):
Ti 0.0000 0.0000 0.0000
Fe 0.0000 0.0000 0.5000
Fe 0.0000 0.5000 0.0000
Fe 0.5000 0.0000 0.0000
Ru 0.5000 0.5000 0.5000

Run b
TiFe3Ru: relaxed, GGA-PBE.

Lattice parameters (Å, degrees): 4.4943 4.4943 4.4943 90.00 90.00 90.00
Atoms (fractional coordinates):
Ti 0.0000 0.0000 0.0000
Fe 0.0000 0.5000 0.5000
Fe 0.5000 0.0000 0.5000
Fe 0.5000 0.5000 0.0000
Ru 0.5000 0.5000 0.5000

Which of them is least stable? Easy: run a.

Run a
V2FeRu: relaxed, GGA-PBE.

Lattice parameters (Å, degrees): 2.9567 2.9567 5.8748 90.00 90.00 90.00
Atoms (fractional coordinates):
V 0.0000 0.0000 0.2357
V 0.0000 0.0000 0.7643
Fe 0.5000 0.5000 0.0000
Ru 0.5000 0.5000 0.5000

Run b
V2FeRu: relaxed, GGA-PBE.

Lattice parameters (Å, degrees): 5.9140 5.9140 5.9140 90.00 90.00 90.00
Atoms (fractional coordinates):
V 0.2500 0.2500 0.2500
V 0.2500 0.2500 0.7500
V 0.2500 0.7500 0.2500
V 0.2500 0.7500 0.7500
V 0.7500 0.2500 0.2500
V 0.7500 0.2500 0.7500
V 0.7500 0.7500 0.2500
V 0.7500 0.7500 0.7500
Fe 0.0000 0.0000 0.0000
Fe 0.0000 0.5000 0.5000
Fe 0.5000 0.0000 0.5000
Fe 0.5000 0.5000 0.0000
Ru 0.0000 0.0000 0.5000
Ru 0.0000 0.5000 0.0000
Ru 0.5000 0.0000 0.0000
Ru 0.5000 0.5000 0.5000

Run c
V2FeRu: relaxed, GGA-PBE.

Lattice parameters (Å, degrees): 6.5715 6.5715 5.1128 90.00 90.00 90.00
Atoms (fractional coordinates):
V 0.2436 0.7500 0.1250
V 0.2500 0.2436 0.8750
V 0.2500 0.2564 0.3750
V 0.2564 0.7500 0.6250
V 0.7436 0.2500 0.6250
V 0.7500 0.7436 0.3750
V 0.7500 0.7564 0.8750
V 0.7564 0.2500 0.1250
Fe 0.0000 0.0000 0.0000
Fe 0.0000 0.5000 0.2500
Fe 0.5000 0.0000 0.7500
Fe 0.5000 0.5000 0.5000
Ru 0.0000 0.0000 0.5000
Ru 0.0000 0.5000 0.7500
Ru 0.5000 0.0000 0.2500
Ru 0.5000 0.5000 0.0000

Run d
V2FeRu: relaxed, GGA-PBE.

Lattice parameters (Å, degrees): 2.6794 4.1173 9.3398 90.00 95.34 90.00
Atoms (fractional coordinates):
V 0.0210 0.2500 0.3441
V 0.3624 0.2500 0.8064
V 0.6376 0.7500 0.1936
V 0.9790 0.7500 0.6559
Fe 0.4242 0.7500 0.4205
Fe 0.5758 0.2500 0.5795
Ru 0.2551 0.2500 0.0833
Ru 0.7449 0.7500 0.9167

Which of them is least stable? Easy: run c.

Run a
VFeRu2: relaxed, GGA-PBE.

Lattice parameters (Å, degrees): 5.9962 5.9962 5.9962 90.00 90.00 90.00
Atoms (fractional coordinates):
V 0.0000 0.0000 0.0000
V 0.0000 0.5000 0.5000
V 0.5000 0.0000 0.5000
V 0.5000 0.5000 0.0000
Fe 0.0000 0.0000 0.5000
Fe 0.0000 0.5000 0.0000
Fe 0.5000 0.0000 0.0000
Fe 0.5000 0.5000 0.5000
Ru 0.2500 0.2500 0.2500
Ru 0.2500 0.2500 0.7500
Ru 0.2500 0.7500 0.2500
Ru 0.2500 0.7500 0.7500
Ru 0.7500 0.2500 0.2500
Ru 0.7500 0.2500 0.7500
Ru 0.7500 0.7500 0.2500
Ru 0.7500 0.7500 0.7500

Run b
VFeRu2: relaxed, GGA-PBE.

Lattice parameters (Å, degrees): 3.7153 3.7153 16.7638 90.00 90.00 90.00
Atoms (fractional coordinates):
V 0.0000 0.0000 0.0000
V 0.0000 0.5000 0.2500
V 0.5000 0.0000 0.7500
V 0.5000 0.5000 0.5000
Fe 0.0000 0.0000 0.5000
Fe 0.0000 0.5000 0.7500
Fe 0.5000 0.0000 0.2500
Fe 0.5000 0.5000 0.0000
Ru 0.2339 0.2500 0.6250
Ru 0.2500 0.7339 0.8750
Ru 0.2500 0.7661 0.3750
Ru 0.2661 0.2500 0.1250
Ru 0.7339 0.7500 0.1250
Ru 0.7500 0.2339 0.3750
Ru 0.7500 0.2661 0.8750
Ru 0.7661 0.7500 0.6250

Run c
VFeRu2: relaxed, GGA-PBE.

Lattice parameters (Å, degrees): 3.0187 3.0187 5.9227 90.00 90.00 90.00
Atoms (fractional coordinates):
V 0.0000 0.0000 0.0000
Fe 0.0000 0.0000 0.5000
Ru 0.5000 0.5000 0.2476
Ru 0.5000 0.5000 0.7524

Run d
VFeRu2: relaxed, GGA-PBE.

Lattice parameters (Å, degrees): 4.1562 4.1562 3.0831 90.00 90.00 90.00
Atoms (fractional coordinates):
V 0.0000 0.0000 0.0000
Fe 0.5000 0.5000 0.0000
Ru 0.0000 0.5000 0.5000
Ru 0.5000 0.0000 0.5000

Which of them is least stable? Easy: run b.

Run a
VFe3Ru: relaxed, GGA-PBE.

Lattice parameters (Å, degrees): 4.4747 4.4747 4.4747 90.00 90.00 90.00
Atoms (fractional coordinates):
V 0.0000 0.0000 0.0000
Fe 0.0000 0.5000 0.5000
Fe 0.5000 0.0000 0.5000
Fe 0.5000 0.5000 0.0000
Ru 0.5000 0.5000 0.5000

Run b
VFe3Ru: relaxed, GGA-PBE.

Lattice parameters (Å, degrees): 4.1721 4.1721 4.1721 90.00 90.00 90.00
Atoms (fractional coordinates):
V 0.0000 0.0000 0.0000
Fe 0.0000 0.0000 0.5000
Fe 0.0000 0.5000 0.0000
Fe 0.5000 0.0000 0.0000
Ru 0.5000 0.5000 0.5000

Which of them is least stable? Easy: run a.